(1)
# Ti7Al2Pd2, relaxed, DFT PBE
data_Ti7Al2Pd2
_chemical_formula_sum 'Ti7 Al2 Pd2'
_space_group_name_H-M_alt 'P 1'
_space_group_IT_number 1
_space_group_name_Hall 'P 1'
_cell_length_a 5.466
_cell_length_b 5.588
_cell_length_c 6.900
_cell_angle_alpha 69.38
_cell_angle_beta 72.10
_cell_angle_gamma 77.47
loop_
_atom_site_label
_atom_site_type_symbol
_atom_site_fract_x
_atom_site_fract_y
_atom_site_fract_z
Ti1 Ti 0.000 0.000 0.000
Ti2 Ti 0.114 0.292 0.632
Ti3 Ti 0.439 0.616 0.301
Ti4 Ti 0.451 0.106 0.291
Ti5 Ti 0.549 0.894 0.709
Ti6 Ti 0.561 0.384 0.699
Ti7 Ti 0.886 0.708 0.368
Al1 Al 0.111 0.787 0.651
Al2 Al 0.889 0.213 0.349
Pd1 Pd 0.231 0.507 0.027
Pd2 Pd 0.769 0.493 0.973
# - total magnetization (μB per cell) = 0.0
# - N(E_F) (states/eV/cell) = 12.60
# - total DFT energy (no corrections) (eV per atom) = -6.8352

***

(2)
# Ti2AlPd3, relaxed, DFT PBE
data_Ti2AlPd3
_chemical_formula_sum 'Ti4 Al2 Pd6'
_space_group_name_H-M_alt 'P 1'
_space_group_IT_number 1
_space_group_name_Hall 'P 1'
_cell_length_a 4.139
_cell_length_b 7.196
_cell_length_c 6.524
_cell_angle_alpha 90.00
_cell_angle_beta 108.29
_cell_angle_gamma 90.00
loop_
_atom_site_label
_atom_site_type_symbol
_atom_site_fract_x
_atom_site_fract_y
_atom_site_fract_z
Ti1 Ti 0.000 0.000 0.000
Ti2 Ti 0.000 0.500 0.000
Ti3 Ti 0.335 0.000 0.670
Ti4 Ti 0.665 0.000 0.330
Al1 Al 0.332 0.500 0.665
Al2 Al 0.668 0.500 0.335
Pd1 Pd 0.167 0.267 0.333
Pd2 Pd 0.167 0.733 0.333
Pd3 Pd 0.500 0.264 0.000
Pd4 Pd 0.500 0.736 0.000
Pd5 Pd 0.833 0.267 0.667
Pd6 Pd 0.833 0.733 0.667
# - total magnetization (μB per cell) = 1.9
# - N(E_F) (states/eV/cell) = 9.90
# - relative energy among the computed polymorphs (meV per atom) = 0.0

***

(3)
# TiAl2Pd6, relaxed, DFT PBE
data_TiAl2Pd6
_chemical_formula_sum 'Ti1 Al2 Pd6'
_space_group_name_H-M_alt 'P 1'
_space_group_IT_number 1
_space_group_name_Hall 'P 1'
_cell_length_a 4.696
_cell_length_b 4.696
_cell_length_c 8.075
_cell_angle_alpha 101.65
_cell_angle_beta 101.65
_cell_angle_gamma 51.77
loop_
_atom_site_label
_atom_site_type_symbol
_atom_site_fract_x
_atom_site_fract_y
_atom_site_fract_z
Ti1 Ti 0.000 0.000 0.000
Al1 Al 0.310 0.310 0.753
Al2 Al 0.690 0.690 0.247
Pd1 Pd 0.008 0.008 0.315
Pd2 Pd 0.337 0.337 0.441
Pd3 Pd 0.344 0.344 0.092
Pd4 Pd 0.656 0.656 0.908
Pd5 Pd 0.663 0.663 0.559
Pd6 Pd 0.992 0.992 0.685
# - total magnetization (μB per cell) = 0.0
# - N(E_F) (states/eV/cell) = 4.43
# - total DFT energy (no corrections) (eV per atom) = -5.8506

***

(4)
# Ti3AlPd7, relaxed, DFT PBE
data_Ti3AlPd7
_chemical_formula_sum 'Ti3 Al1 Pd7'
_space_group_name_H-M_alt 'P 1'
_space_group_IT_number 1
_space_group_name_Hall 'P 1'
_cell_length_a 6.659
_cell_length_b 6.659
_cell_length_c 4.761
_cell_angle_alpha 110.80
_cell_angle_beta 110.80
_cell_angle_gamma 92.17
loop_
_atom_site_label
_atom_site_type_symbol
_atom_site_fract_x
_atom_site_fract_y
_atom_site_fract_z
Ti1 Ti 0.000 0.000 0.000
Ti2 Ti 0.232 0.768 0.500
Ti3 Ti 0.768 0.232 0.500
Al1 Al 0.500 0.500 0.000
Pd1 Pd 0.037 0.607 0.822
Pd2 Pd 0.181 0.181 0.680
Pd3 Pd 0.393 0.963 0.178
Pd4 Pd 0.500 0.500 0.500
Pd5 Pd 0.607 0.037 0.822
Pd6 Pd 0.819 0.819 0.320
Pd7 Pd 0.963 0.393 0.178
# - total magnetization (μB per cell) = 0.0
# - N(E_F) (states/eV/cell) = 7.24
# - total DFT energy (no corrections) (eV per atom) = -6.2093

***

(5)
# Ti4Al3Pd, relaxed, DFT PBE
data_Ti4Al3Pd
_chemical_formula_sum 'Ti4 Al3 Pd1'
_space_group_name_H-M_alt 'P 1'
_space_group_IT_number 1
_space_group_name_Hall 'P 1'
_cell_length_a 2.976
_cell_length_b 4.179
_cell_length_c 10.540
_cell_angle_alpha 90.00
_cell_angle_beta 90.00
_cell_angle_gamma 90.00
loop_
_atom_site_label
_atom_site_type_symbol
_atom_site_fract_x
_atom_site_fract_y
_atom_site_fract_z
Ti1 Ti 0.000 0.000 0.000
Ti2 Ti 0.000 0.500 0.341
Ti3 Ti 0.500 0.000 0.497
Ti4 Ti 0.500 0.500 0.842
Al1 Al 0.000 0.500 0.600
Al2 Al 0.500 0.000 0.241
Al3 Al 0.500 0.500 0.098
Pd1 Pd 0.000 0.000 0.743
# - total magnetization (μB per cell) = 0.5
# - N(E_F) (states/eV/cell) = 9.36
# - relative energy among the computed polymorphs (meV per atom) = 0.0

***

(6)
# Ti2AlPd4, relaxed, DFT PBE
data_Ti2AlPd4
_chemical_formula_sum 'Ti2 Al1 Pd4'
_space_group_name_H-M_alt 'P 1'
_space_group_IT_number 1
_space_group_name_Hall 'P 1'
_cell_length_a 6.789
_cell_length_b 6.789
_cell_length_c 6.789
_cell_angle_alpha 38.68
_cell_angle_beta 38.68
_cell_angle_gamma 38.68
loop_
_atom_site_label
_atom_site_type_symbol
_atom_site_fract_x
_atom_site_fract_y
_atom_site_fract_z
Ti1 Ti 0.228 0.228 0.228
Ti2 Ti 0.772 0.772 0.772
Al1 Al 0.500 0.500 0.500
Pd1 Pd 0.090 0.090 0.090
Pd2 Pd 0.365 0.365 0.365
Pd3 Pd 0.635 0.635 0.635
Pd4 Pd 0.910 0.910 0.910
# - total magnetization (μB per cell) = 0.0
# - N(E_F) (states/eV/cell) = 3.67
# - relative energy among the computed polymorphs (meV per atom) = 0.0